! CaPm2Tc PBE-GGA relaxed; values from VASP
! Energy   -21.6 eV/cell
! DFT formation energy   0.076 eV/atom
! Size of the total moment   0.0 μB per cell
! N(E_F)   5.4 states/eV/f.u.
&SYSTEM
  ibrav = 0, nat = 4, ntyp = 3
/
ATOMIC_SPECIES
Ca 40.08 Ca.upf
Pm 145.00 Pm.upf
Tc 98.00 Tc.upf
CELL_PARAMETERS angstrom
3.5612 0.0000 0.0000
0.0000 3.5612 0.0000
0.0000 0.0000 9.4978
ATOMIC_POSITIONS crystal
Ca 0.0000 0.0000 0.0000
Pm 0.5000 0.5000 0.3245
Pm 0.5000 0.5000 0.6755
Tc 0.0000 0.0000 0.5000


! MoPd8 PBE-GGA relaxed; values from VASP
! Energy   -53.2 eV/cell
! DFT formation energy   -0.097 eV/atom
! Size of the total moment   0.0 μB per cell
! N(E_F)   8.3 states/eV/f.u.
&SYSTEM
  ibrav = 0, nat = 9, ntyp = 2
/
ATOMIC_SPECIES
Mo 95.94 Mo.upf
Pd 106.42 Pd.upf
CELL_PARAMETERS angstrom
-4.1829 4.1829 1.9674
4.1829 -4.1829 1.9674
4.1829 4.1829 -1.9674
ATOMIC_POSITIONS crystal
Mo 0.0000 0.0000 0.0000
Pd 0.0000 0.3285 0.3285
Pd 0.0000 0.6715 0.6715
Pd 0.3285 0.0000 0.3285
Pd 0.3380 0.3380 0.6760
Pd 0.3380 0.6620 0.0000
Pd 0.6620 0.3380 0.0000
Pd 0.6620 0.6620 0.3240
Pd 0.6715 0.0000 0.6715


no.,V (A^3/atom)
1,30.1
2,15.3